No. 1
Mg2FeCl | PBE-GGA | optimized geometry

Summary:
E above lowest polymorph in meV per atom: 785.0
Crystal system: cubic
Raw total energy in eV per atom: -2.89
Total moment in μB/f.u.: 2.91

abc: 4.874 4.874 4.874
angles: 60.00 60.00 60.00
Sites, in units of the cell vectors:
1 Mg 0.000 0.000 0.000
2 Mg 0.250 0.250 0.250
3 Fe 0.750 0.750 0.750
4 Cl 0.500 0.500 0.500

=====

No. 2
Mg2FeCl | PBE-GGA | optimized geometry

Summary:
E above lowest polymorph in meV per atom: 294.6
Crystal system: orthorhombic
Raw total energy in eV per atom: -3.38
Total moment in μB/f.u.: 2.92

abc: 3.113 3.113 8.566
angles: 90.00 90.00 114.28
Sites, in units of the cell vectors:
1 Mg 0.000 0.000 0.000
2 Mg 0.500 0.500 0.293
3 Fe 0.500 0.500 0.758
4 Cl 0.000 0.000 0.534

=====

No. 3
MgFe3Cl | PBE-GGA | optimized geometry

Summary:
E above lowest polymorph in meV per atom: 966.2
Crystal system: cubic
Raw total energy in eV per atom: -4.21
Total moment in μB/f.u.: 8.64

abc: 4.675 4.675 4.675
angles: 90.00 90.00 90.00
Sites, in units of the cell vectors:
1 Mg 0.000 0.000 0.000
2 Fe 0.000 0.000 0.500
3 Fe 0.000 0.500 0.000
4 Fe 0.500 0.000 0.000
5 Cl 0.500 0.500 0.500

=====

No. 4
MgFeCl | PBE-GGA | optimized geometry

Summary:
E above lowest polymorph in meV per atom: 361.0
Crystal system: hexagonal
Raw total energy in eV per atom: -3.75
Total moment in μB/f.u.: 2.45

abc: 4.279 4.279 3.165
angles: 90.00 90.00 120.00
Sites, in units of the cell vectors:
1 Mg 0.000 0.000 0.000
2 Fe 0.667 0.333 0.500
3 Cl 0.333 0.667 0.500

=====

No. 5
Mg2FeCl | PBE-GGA | optimized geometry

Summary:
E above lowest polymorph in meV per atom: 240.2
Crystal system: monoclinic
Raw total energy in eV per atom: -3.43
Total moment in μB/f.u.: 2.31

abc: 5.406 5.406 4.994
angles: 107.02 107.02 32.50
Sites, in units of the cell vectors:
1 Mg 0.000 0.000 0.000
2 Mg 0.208 0.208 0.627
3 Fe 0.474 0.474 0.519
4 Cl 0.801 0.801 0.211

=====

No. 6
MgFe2Cl6 | PBE-GGA | optimized geometry

Summary:
Crystal system: monoclinic
Raw total energy in eV per atom: -4.31
Total moment in μB/f.u.: 8.00

abc: 8.346 8.346 6.642
angles: 97.93 97.93 84.40
Sites, in units of the cell vectors:
1 Mg 0.101 0.899 0.750
2 Mg 0.899 0.101 0.250
3 Fe 0.218 0.391 0.686
4 Fe 0.391 0.218 0.186
5 Fe 0.609 0.782 0.814
6 Fe 0.782 0.609 0.314
7 Cl 0.037 0.185 0.614
8 Cl 0.116 0.627 0.857
9 Cl 0.185 0.037 0.114
10 Cl 0.295 0.443 0.386
11 Cl 0.373 0.884 0.643
12 Cl 0.443 0.295 0.886
13 Cl 0.557 0.705 0.114
14 Cl 0.627 0.116 0.357
15 Cl 0.705 0.557 0.614
16 Cl 0.815 0.963 0.886
17 Cl 0.884 0.373 0.143
18 Cl 0.963 0.815 0.386